Density functional theory data (PBE) for a relaxed YCdSi2 crystal.

```
data_YCdSi2
_symmetry_space_group_name_H-M 'P m m 2'
_symmetry_Int_Tables_number 25
_cell_length_a 3.1457
_cell_length_b 4.7253
_cell_length_c 5.4567
_cell_angle_alpha 90.00
_cell_angle_beta 90.00
_cell_angle_gamma 90.00
loop_
_symmetry_equiv_pos_as_xyz
'x,y,z'
'-x,-y,z'
'-x,y,z'
'x,-y,z'
loop_
_atom_site_label
_atom_site_type_symbol
_atom_site_fract_x
_atom_site_fract_y
_atom_site_fract_z
Y1 Y 0.0000 0.0000 0.0000
Cd1 Cd 0.5000 0.5000 0.7171
Si1 Si 0.5000 0.0000 0.4714
Si2 Si 0.5000 0.5000 0.2159
```

## Properties
Uncorrected formation energy in eV/atom: -0.0814
Total moment in μB per cell: 0.00